Material: YSi2NiOs
Method: DFT, PBE
State: optimized geometry

a b c (Å): 3.983 3.983 5.763
angles (deg): 110.22 110.22 90.00
Positions (direct):
Si 0.377 0.377 0.754
Ni 0.750 0.250 0.500
Y 0.000 0.000 0.000
Si 0.623 0.623 0.246
Os 0.250 0.750 0.500

## Properties
E ... -0.562 Ry per atom
Raw formation energy ... -3.90 eV/f.u.
D(E_F) ... 0.381 states/eV/atom

Material: Sm2Al5Cu5
Method: DFT, PBE
State: optimized geometry

a b c (Å): 4.144 5.328 9.113
angles (deg): 90.00 90.00 90.00
Positions (direct):
Al 0.500 0.249 0.761
Cu 0.000 0.500 0.667
Sm 0.000 0.000 0.500
Cu 0.000 0.000 0.834
Sm 0.000 0.500 0.000
Al 0.500 0.249 0.239
Al 0.500 0.500 0.500
Al 0.500 0.751 0.239
Al 0.500 0.751 0.761
Cu 0.000 0.500 0.333
Cu 0.000 0.000 0.166
Cu 0.500 0.000 0.000

## Properties
ΔE_f ... -5.3 eV per formula unit
E ... -0.330 Ry per atom
D(E_F) ... 0.293 states/eV/atom

Material: NaGdScTl
Method: DFT, PBE
State: optimized geometry

a b c (Å): 5.286 5.286 5.286
angles (deg): 60.00 60.00 60.00
Positions (direct):
Na 0.250 0.250 0.250
Gd 0.500 0.500 0.500
Sc 0.000 0.000 0.000
Tl 0.750 0.750 0.750

## Properties
ΔE_f ... -0.1 eV per formula unit
E ... -0.445 Ry per atom
D(E_F) ... 1.115 states/eV/atom

Material: BeNbPS2
Method: DFT, PBE
State: optimized geometry

a b c (Å): 4.338 4.338 4.157
angles (deg): 90.00 90.00 90.00
Positions (direct):
Nb 0.500 0.500 0.500
S 0.500 0.000 0.000
S 0.000 0.500 0.000
P 0.000 0.000 0.500
Be 0.000 0.000 0.000

## Properties
E ... -0.375 Ry per atom
Energy above the most stable polymorph in this dataset ... 0.0000 eV per atom
Raw formation energy ... 1.95 eV/f.u.
D(E_F) ... 0.874 states/eV/atom

Material: TcB2O
Method: DFT, PBE
State: optimized geometry

a b c (Å): 4.872 4.872 4.604
angles (deg): 58.05 58.05 90.00
Positions (direct):
B 0.222 0.625 0.250
Tc 0.750 0.250 0.500
O 0.500 0.500 0.000
B 0.875 0.778 0.750
B 0.375 0.472 0.750
O 0.250 0.750 0.500
B 0.528 0.125 0.250
Tc 0.000 0.000 0.000

## Properties
E ... -0.514 Ry per atom
Raw formation energy ... 0.69 eV/f.u.
D(E_F) ... 0.645 states/eV/atom

Material: TeAsAu2
Method: DFT, PBE
State: optimized geometry

a b c (Å): 6.341 6.341 6.812
angles (deg): 136.07 136.07 80.32
Positions (direct):
Te 0.497 0.503 0.000
Au 0.257 0.743 0.500
As 0.740 0.260 0.500
Au 0.006 0.994 0.000

## Properties
E ... -0.258 Ry per atom
Energy above the most stable polymorph in this dataset ... 0.0629 eV per atom
Raw formation energy ... 0.30 eV/f.u.
D(E_F) ... 0.499 states/eV/atom

Material: Cr2NiOs
Method: DFT, PBE
State: optimized geometry

a b c (Å): 2.625 3.627 5.168
angles (deg): 90.00 90.00 90.00
Positions (direct):
Cr 0.500 0.500 0.251
Ni 0.000 0.000 0.491
Cr 0.000 0.000 0.999
Os 0.500 0.500 0.759

## Properties
ΔE_f ... 0.6 eV per formula unit
E ... -0.656 Ry per atom
D(E_F) ... 1.371 states/eV/atom

Material: Hf2NbCr
Method: DFT, PBE
State: optimized geometry

a b c (Å): 3.130 3.130 9.007
angles (deg): 80.00 80.00 60.00
Positions (direct):
Hf 0.259 0.259 0.223
Hf 0.741 0.741 0.777
Nb 0.500 0.500 0.500
Cr 0.000 0.000 0.000

## Properties
ΔE_f ... 1.4 eV per formula unit
E ... -0.702 Ry per atom
Energy above the most stable polymorph in this dataset ... 0.2244 eV per atom
D(E_F) ... 1.522 states/eV/atom

Number 1: magnetic moment 0.00 μB/f.u.. Number 2: magnetic moment 0.00 μB/f.u.. Number 3: magnetic moment 7.93 μB/f.u.. Number 4: magnetic moment 1.41 μB/f.u.. Number 5: magnetic moment 0.00 μB/f.u.. Number 6: magnetic moment 0.00 μB/f.u.. Number 7: magnetic moment 0.11 μB/f.u.. Number 8: magnetic moment 0.00 μB/f.u..